Computed, not measured: crystalline AlFeO3 at its relaxed geometry at the PBE+U level of DFT.

Cell and atoms, written as extended XYZ:
```
5
Lattice="3.600 0.000 0.000 0.000 3.600 0.000 0.000 0.000 3.600" Properties=species:S:1:pos:R:3 pbc="T T T"
Al 0.000 0.000 0.000
Fe 1.800 1.800 1.800
O 0.000 0.000 1.800
O 0.000 1.800 0.000
O 1.800 0.000 0.000
```

- calculated total energy (eV per atom) = -6.405
- magnetic moment (μB per formula unit) = 5.00